(1)
Density functional theory data (PBE) for K3CaBr after structural relaxation.

Unit cell a=6.5244 b=6.5244 c=6.5244 alpha=90.00 beta=90.00 gamma=90.00
Fractional coordinates of all 5 atoms:
Ca 0.5000 0.5000 0.5000
K 0.0000 0.5000 0.0000
K 0.0000 0.0000 0.5000
K 0.5000 0.0000 0.0000
Br 0.0000 0.0000 0.0000

Output
Symmetry   Pm-3m, No. 221
Excess energy over the best structure of this formula in the dataset   0.0 kJ per mole of atoms
E_form (uncorrected)   -230 kJ/mol of formula units

=====

(2)
Density functional theory data (PBE) for YErSi2 after structural relaxation.

Unit cell a=4.2575 b=3.8259 c=5.6643 alpha=90.00 beta=112.07 gamma=90.00
Fractional coordinates of all 4 atoms:
Y 0.4421 0.5000 0.4233
Er 0.7228 0.0000 0.9845
Si 0.1597 0.5000 0.8583
Si 0.0064 0.0000 0.5519

Output
Symmetry   Amm2, No. 38
Excess energy over the best structure of this formula in the dataset   0.0 kJ per mole of atoms
E_form (uncorrected)   -322 kJ/mol of formula units